CeSm2Pu3Te6 | PBE | optimized geometry

E_tot   -7.6815 eV/atom
Formation energy from raw total energies   -14.96 eV/f.u.
Calculated density   8.622 g/cm³

Cell: 19.3515 4.4335 8.9213 Å, 90.00 102.70 90.00°
With the nearest neighbours (Å) after each atom.
Space group C2/m (No. 12)
Inequivalent atoms, fractional coordinates:
1 Ce 0.0000 0.0000 0.0000 x2  6 Te 3.17-3.18
2 Sm 0.1673 0.5000 0.3376 x4  6 Te 3.14-3.16
3 Pu 0.0000 0.0000 0.5000 x2  6 Te 3.12-3.14
4 Pu 0.1661 0.5000 0.8362 x4  6 Te 3.12-3.14
5 Te 0.0004 0.5000 0.2537 x4  3 Pu 3.12-3.14, 1 Sm 3.15, 2 Ce 3.17
6 Te 0.1664 0.0000 0.5870 x4  3 Pu 3.14, 3 Sm 3.14
7 Te 0.1685 0.0000 0.0853 x4  3 Pu 3.12-3.13, 2 Sm 3.16, 1 Ce 3.18